5
Lattice="-3.9027 0.6326 0.3027 0.2095 -0.5818 3.9167 0.6693 3.8709 0.5392" Properties=species:S:1:pos:R:3 comment="AcTiO3 (meta-GGA SCAN, PBEsol geometry)" n_ef_per_ev_cell=1.27 raw_formation_energy_ev_per_atom=-3.5182 pbc="T T T"
O -1.6167 2.2518 0.4209
O 0.4394 1.6446 2.2279
Ac 0.0000 0.0000 0.0000
Ti -1.5120 1.9609 2.3793
O -1.8466 0.0254 2.1097